Entry from Alexandria via LeMat-Bulk: a relaxed CsNaCd2Sn crystal (GGA-PBE).

POSCAR file:
```
CsNaCd2Sn
1.0
5.927 0.000 0.000
0.000 5.927 0.000
0.000 0.000 5.961
Cs Na Cd Sn
1 1 2 1
Cartesian
0.000 0.000 0.000
2.964 2.964 0.000
0.000 2.964 2.981
2.964 0.000 2.981
2.964 2.964 2.981
```

Summary:
E_form in eV per atom: 0.0081
VASP energy in eV/atom: -1.593
N(E_F) in states/eV per cell: 4.96

***

Entry from Alexandria via LeMat-Bulk: a relaxed ThAgHgBi crystal (GGA-PBE).

POSCAR file:
```
ThAgHgBi
1.0
0.000 3.754 3.754
3.754 0.000 3.754
3.754 3.754 0.000
Th Ag Hg Bi
1 1 1 1
Cartesian
0.000 0.000 0.000
3.754 3.754 3.754
1.877 1.877 1.877
5.632 5.632 5.632
```

Summary:
E_form in eV per atom: -0.1310
VASP energy in eV/atom: -3.744
N(E_F) in states/eV per cell: 2.72